# 1
! NaAsPt PBE optimized geometry; values from VASP
&SYSTEM
  ibrav = 0, nat = 3, ntyp = 3
/
ATOMIC_SPECIES
Pt 195.08 Pt.upf
Na 22.99 Na.upf
As 74.92 As.upf
CELL_PARAMETERS angstrom
-0.448 2.374 3.663
-2.139 -3.120 1.761
4.150 0.170 0.398
ATOMIC_POSITIONS angstrom
Pt 1.979 -0.531 1.463
Na -0.341 -0.441 3.748
As -0.075 0.396 0.611
! Calculated formation energy   -0.42 eV per atom

***

# 2
! NaAs2Pt PBE optimized geometry; values from VASP
&SYSTEM
  ibrav = 0, nat = 4, ntyp = 3
/
ATOMIC_SPECIES
As 74.92 As.upf
Na 22.99 Na.upf
Pt 195.08 Pt.upf
CELL_PARAMETERS angstrom
3.829 0.000 0.000
1.914 3.316 0.000
1.914 1.105 8.190
ATOMIC_POSITIONS angstrom
As 1.914 1.105 5.327
As 5.743 3.316 2.863
Na 0.000 0.000 0.000
Pt 3.829 2.211 4.095
! Calculated formation energy   -0.25 eV per atom
! Energy above the most stable polymorph in this dataset   0.0 meV per atom

***

# 3
! Na2As4Pt5 PBE optimized geometry; values from VASP
&SYSTEM
  ibrav = 0, nat = 11, ntyp = 3
/
ATOMIC_SPECIES
Na 22.99 Na.upf
Pt 195.08 Pt.upf
As 74.92 As.upf
CELL_PARAMETERS angstrom
5.513 0.000 0.000
2.756 5.977 0.000
2.756 0.000 7.115
ATOMIC_POSITIONS angstrom
Na 5.513 0.000 1.734
Na 2.756 0.000 5.381
Pt 4.134 2.988 0.000
Pt 1.378 2.988 0.000
Pt 4.134 2.988 3.558
Pt 6.891 2.988 3.558
Pt 2.756 0.000 0.000
As 5.513 1.809 5.346
As 5.513 4.168 1.770
As 2.756 1.809 1.770
As 8.269 4.168 5.346
! Calculated formation energy   -0.32 eV per atom

***

One value per record, in order, for uncorrected energy: -13.27; -17.65; -54.98 eV/cell.